(1)
First-principles (PBE) data for a geometry-optimized Al2PdAu structure, as listed in Alexandria via LeMat-Bulk.

Calculated values
Its total magnetization is 0.00 μB/atom. Its space group is C2/c.

a = 4.783 Å, b = 4.783 Å, c = 5.916 Å
α = 91.63°, β = 91.63°, γ = 101.15°
Fractional coordinates of all 8 atoms:
Al 0.121 0.265 0.410
Al 0.265 0.121 0.910
Al 0.735 0.879 0.090
Al 0.879 0.735 0.590
Pd 0.213 0.787 0.250
Pd 0.787 0.213 0.750
Au 0.373 0.627 0.750
Au 0.627 0.373 0.250


(2)
First-principles (PBE) data for a geometry-optimized BeV2Ni structure, as listed in Alexandria via LeMat-Bulk.

Calculated values
Its total magnetization is 0.00 μB/atom. Its space group is I-42d.

a = 5.146 Å, b = 5.146 Å, c = 5.146 Å
α = 101.24°, β = 101.24°, γ = 127.61°
Fractional coordinates of all 8 atoms:
Be 0.000 0.000 0.000
Be 0.750 0.250 0.500
V 0.128 0.625 0.003
V 0.375 0.378 0.503
V 0.622 0.125 0.997
V 0.875 0.872 0.497
Ni 0.250 0.750 0.500
Ni 0.500 0.500 0.000


Uncorrected energy list, top to bottom, in eV per cell: -36.15 -53.06